1.
# BaNd2In, optimized geometry, DFT PBE-GGA
data_BaNd2In
_chemical_formula_sum 'Ba1 Nd2 In1'
_cell_length_a 5.103
_cell_length_b 5.202
_cell_length_c 5.202
_cell_angle_alpha 90.00
_cell_angle_beta 90.00
_cell_angle_gamma 90.00
_symmetry_space_group_name_H-M 'P 1'
_symmetry_Int_Tables_number 1
loop_
_symmetry_equiv_pos_as_xyz
'x,y,z'
loop_
_atom_site_label
_atom_site_type_symbol
_atom_site_fract_x
_atom_site_fract_y
_atom_site_fract_z
Nd1 Nd 0.000 0.000 0.500
Nd2 Nd 0.000 0.500 0.000
In1 In 0.500 0.000 0.000
Ba1 Ba 0.500 0.500 0.500
# Polymorph energy (0 for the lowest one) (meV/atom): 28
# DOS(E_F) (states/eV per cell): 4.1
# Calculated volume (Å³ per cell): 138.1
# Energy of formation (eV/atom): -0.10
# Space-group type: P4/mmm, No. 123
# Crystal system: tetragonal
# Raw total energy (eV per atom): -3.645

---

2.
# TaMoOs2, optimized geometry, DFT PBE-GGA
data_TaMoOs2
_chemical_formula_sum 'Ta1 Mo1 Os2'
_cell_length_a 4.964
_cell_length_b 4.964
_cell_length_c 4.964
_cell_angle_alpha 133.75
_cell_angle_beta 133.75
_cell_angle_gamma 67.48
_symmetry_space_group_name_H-M 'P 1'
_symmetry_Int_Tables_number 1
loop_
_symmetry_equiv_pos_as_xyz
'x,y,z'
loop_
_atom_site_label
_atom_site_type_symbol
_atom_site_fract_x
_atom_site_fract_y
_atom_site_fract_z
Mo1 Mo 0.750 0.250 0.500
Os1 Os 0.000 0.000 0.000
Os2 Os 0.250 0.750 0.500
Ta1 Ta 0.500 0.500 0.000
# Polymorph energy (0 for the lowest one) (meV/atom): 46
# DOS(E_F) (states/eV per cell): 4.6
# Calculated volume (Å³ per cell): 62.8
# Energy of formation (eV/atom): 0.01
# Space-group type: I-4m2, No. 119
# Crystal system: tetragonal
# Raw total energy (eV per atom): -11.272

---

3.
# Pr8ErTm2, optimized geometry, DFT PBE-GGA
data_Pr8ErTm2
_chemical_formula_sum 'Pr8 Er1 Tm2'
_cell_length_a 5.728
_cell_length_b 8.310
_cell_length_c 9.550
_cell_angle_alpha 115.79
_cell_angle_beta 107.45
_cell_angle_gamma 90.00
_symmetry_space_group_name_H-M 'P 1'
_symmetry_Int_Tables_number 1
loop_
_symmetry_equiv_pos_as_xyz
'x,y,z'
loop_
_atom_site_label
_atom_site_type_symbol
_atom_site_fract_x
_atom_site_fract_y
_atom_site_fract_z
Pr1 Pr 0.364 0.160 0.727
Pr2 Pr 0.636 0.432 0.273
Pr3 Pr 0.837 0.837 0.673
Pr4 Pr 0.636 0.840 0.273
Pr5 Pr 0.163 0.163 0.327
Pr6 Pr 0.000 0.707 0.000
Pr7 Pr 0.364 0.568 0.727
Pr8 Pr 0.000 0.293 0.000
Tm1 Tm 0.201 0.701 0.402
Tm2 Tm 0.799 0.299 0.598
Er1 Er 0.500 0.000 0.000
# Polymorph energy (0 for the lowest one) (meV/atom): 0
# DOS(E_F) (states/eV per cell): 16.3
# Calculated volume (Å³ per cell): 386.0
# Energy of formation (eV/atom): 0.11
# Space-group type: Immm, No. 71
# Crystal system: orthorhombic
# Raw total energy (eV per atom): -4.593

---

4.
# Mg2GaHg2, optimized geometry, DFT PBE-GGA
data_Mg2GaHg2
_chemical_formula_sum 'Mg4 Ga2 Hg4'
_cell_length_a 7.865
_cell_length_b 7.865
_cell_length_c 3.641
_cell_angle_alpha 90.00
_cell_angle_beta 90.00
_cell_angle_gamma 90.00
_symmetry_space_group_name_H-M 'P 1'
_symmetry_Int_Tables_number 1
loop_
_symmetry_equiv_pos_as_xyz
'x,y,z'
loop_
_atom_site_label
_atom_site_type_symbol
_atom_site_fract_x
_atom_site_fract_y
_atom_site_fract_z
Mg1 Mg 0.357 0.857 0.000
Mg2 Mg 0.143 0.357 0.000
Mg3 Mg 0.857 0.643 0.000
Mg4 Mg 0.643 0.143 0.000
Hg1 Hg 0.158 0.658 0.500
Hg2 Hg 0.342 0.158 0.500
Hg3 Hg 0.842 0.342 0.500
Hg4 Hg 0.658 0.842 0.500
Ga1 Ga 0.500 0.500 0.000
Ga2 Ga 0.000 0.000 0.000
# Polymorph energy (0 for the lowest one) (meV/atom): 44
# DOS(E_F) (states/eV per cell): 3.5
# Calculated volume (Å³ per cell): 225.2
# Energy of formation (eV/atom): -0.07
# Space-group type: P4/mbm, No. 127
# Crystal system: tetragonal
# Raw total energy (eV per atom): -1.435

---

5.
# SiMo2Au, optimized geometry, DFT PBE-GGA
data_SiMo2Au
_chemical_formula_sum 'Si1 Mo2 Au1'
_cell_length_a 4.217
_cell_length_b 2.847
_cell_length_c 5.322
_cell_angle_alpha 79.16
_cell_angle_beta 90.00
_cell_angle_gamma 90.00
_symmetry_space_group_name_H-M 'P 1'
_symmetry_Int_Tables_number 1
loop_
_symmetry_equiv_pos_as_xyz
'x,y,z'
loop_
_atom_site_label
_atom_site_type_symbol
_atom_site_fract_x
_atom_site_fract_y
_atom_site_fract_z
Mo1 Mo 0.500 0.241 0.262
Mo2 Mo 0.000 0.000 0.008
Si1 Si 0.000 0.669 0.486
Au1 Au 0.500 0.589 0.744
# DOS(E_F) (states/eV per cell): 2.2
# E_form (uncorrected) (eV/atom): 0.065
# Calculated volume (Å³ per cell): 62.7
# Space-group type: Pm, No. 6
# Crystal system: monoclinic
# Raw total energy (eV per atom): -7.526

---

6.
# K3PtAu6, optimized geometry, DFT PBE-GGA
data_K3PtAu6
_chemical_formula_sum 'K3 Pt1 Au6'
_cell_length_a 7.760
_cell_length_b 7.760
_cell_length_c 8.198
_cell_angle_alpha 118.25
_cell_angle_beta 118.25
_cell_angle_gamma 90.00
_symmetry_space_group_name_H-M 'P 1'
_symmetry_Int_Tables_number 1
loop_
_symmetry_equiv_pos_as_xyz
'x,y,z'
loop_
_atom_site_label
_atom_site_type_symbol
_atom_site_fract_x
_atom_site_fract_y
_atom_site_fract_z
K1 K 0.500 0.500 0.000
K2 K 0.250 0.750 0.500
K3 K 0.750 0.250 0.500
Au1 Au 0.000 0.333 0.000
Au2 Au 0.333 0.000 0.000
Au3 Au 0.212 0.212 0.424
Au4 Au 0.000 0.667 0.000
Au5 Au 0.667 0.000 0.000
Au6 Au 0.788 0.788 0.576
Pt1 Pt 0.000 0.000 0.000
# DOS(E_F) (states/eV per cell): 2.1
# Calculated volume (Å³ per cell): 366.8
# Energy of formation (eV/atom): 0.06
# Space-group type: I4/mmm, No. 139
# Crystal system: tetragonal
# Raw total energy (eV per atom): -2.838